1.
Entry from the Alexandria database: a relaxed structure of K2BeTePd (PBE).

Cell: 6.638 5.048 6.638 Å, 90.00 90.00 90.00°
Element x y z (fractional)
Be 0.500 0.500 0.500
K 0.000 0.000 0.500
K 0.500 0.000 0.000
Te 0.000 0.000 0.000
Pd 0.000 0.500 0.000

Calculated values
Raw total energy in eV/cell: -12.8
Magnetic moment in μB/cell: 0.00



2.
Entry from the Alexandria database: a relaxed structure of KBeTl2Pd (PBE).

Cell: 5.325 5.978 5.325 Å, 90.00 90.00 90.00°
Element x y z (fractional)
Be 0.500 0.500 0.500
Tl 0.000 0.000 0.500
Tl 0.500 0.000 0.000
K 0.000 0.500 0.000
Pd 0.000 0.000 0.000

Calculated values
Energy of formation in eV/atom: 0.53
Raw total energy in eV/cell: -12.1
Magnetic moment in μB/cell: 0.00



3.
Entry from the Alexandria database: a relaxed structure of K2PmBe2S4 (PBE).

Cell: 3.696 8.158 7.694 Å, 114.12 103.90 90.00°
Site moments in Bohr magnetons follow the coordinates.
Element x y z (fractional)
K 0.125 0.559 0.250  0.00
K 0.875 0.441 0.750  0.00
Pm 0.000 0.000 0.000  0.11
Be 0.672 0.969 0.343  0.00
Be 0.328 0.031 0.657  0.00
S 0.211 0.134 0.423  0.00
S 0.789 0.866 0.577  0.00
S 0.531 0.761 0.062  0.01
S 0.469 0.239 0.938  0.01

Calculated values
Raw total energy in eV/cell: -41.8
Magnetic moment in μB/cell: 0.30



4.
Entry from the Alexandria database: a relaxed structure of K2PrBe2S4 (PBE).

Cell: 3.708 8.343 7.805 Å, 115.71 103.74 90.00°
Site moments in Bohr magnetons follow the coordinates.
Element x y z (fractional)
K 0.124 0.565 0.248  0.00
K 0.876 0.435 0.752  0.00
Pr 0.000 0.000 0.000  0.16
Be 0.672 0.965 0.343  0.00
Be 0.328 0.035 0.657  0.00
S 0.213 0.130 0.427  0.00
S 0.787 0.870 0.573  0.00
S 0.530 0.759 0.060  0.01
S 0.470 0.241 0.940  0.01

Calculated values
Raw total energy in eV/cell: -41.8
Magnetic moment in μB/cell: 0.42



5.
Entry from the Alexandria database: a relaxed structure of K2PrBe2Se4 (PBE).

Cell: 3.882 8.535 8.101 Å, 113.98 103.86 90.00°
Site moments in Bohr magnetons follow the coordinates.
Element x y z (fractional)
K 0.125 0.559 0.249  0.00
K 0.875 0.441 0.751  0.00
Pr 0.000 0.000 0.000  0.12
Be 0.670 0.970 0.341  0.00
Be 0.330 0.030 0.659  0.00
Se 0.212 0.140 0.424  0.00
Se 0.788 0.860 0.576  0.00
Se 0.530 0.755 0.059  0.01
Se 0.470 0.245 0.941  0.01

Calculated values
Raw total energy in eV/cell: -38.0
Magnetic moment in μB/cell: 0.34



6.
Entry from the Alexandria database: a relaxed structure of K2BePt (PBE).

Cell: 3.328 3.328 9.923 Å, 90.00 90.00 90.01°
Element x y z (fractional)
Be 0.500 0.500 0.634
K 0.000 0.000 0.918
K 0.500 0.500 0.339
Pt 0.000 0.000 0.609

Calculated values
Energy of formation in eV/atom: 0.00
Raw total energy in eV/cell: -12.0
Magnetic moment in μB/cell: 0.00